# SnC

A relaxed SnC crystal (PBE-GGA, Alexandria).

a = 3.598 Å, b = 3.598 Å, c = 3.598 Å
α = 60.00°, β = 60.00°, γ = 60.00°
Sites, in units of the cell vectors:
Sn 0.000 0.000 0.000
C 0.750 0.750 0.750

Results
- Spin magnetization: 0.0 μB/f.u.
- Final energy: -5.799 eV per atom
- Energy relative to the lowest polymorph listed for this composition: 2 meV/atom
- E_form: 0.8140 eV per atom
- Crystal system: cubic